## K2SrTe (PBE)

Data for K2SrTe after structural relaxation.

Cell and atoms, written as POSCAR:
```
K2SrTe
1.0
4.494 0.000 0.000
0.000 4.679 -0.311
0.000 3.024 10.140
K Te Sr
2 1 1
Cartesian
2.247 1.654 2.808 K
0.000 6.793 9.458 K
2.247 6.596 6.397 Te
0.000 4.215 5.910 Sr
```

Properties
The total magnetization is 0.07 μB/f.u. Its uncorrected energy is -2.4729 eV per atom. The uncorrected formation energy is -0.72 eV per atom.